[1]
Density functional theory data (GGA-PBE) for a relaxed structure of SrZrFeC2.

Results
Energy (eV per cell): -28.1
Total magnetization (μB/cell): 1.4
ΔE_f (eV per atom): 1.82

abc: 4.0339 4.0339 4.6707
angles: 90.00 90.00 90.00
With the nearest neighbours (Å) after each atom.
Fractional coordinates of all 5 atoms:
Sr  0.0000  0.0000  0.0000  2 Fe 2.34
Zr  0.5000  0.5000  0.0000  4 Sr 2.85, 8 C 3.09
Fe  0.0000  0.0000  0.5000  4 C 2.02
C  0.0000  0.5000  0.5000  2 Fe 2.02
C  0.5000  0.0000  0.5000  2 Fe 2.02



[2]
Density functional theory data (GGA-PBE) for a relaxed structure of AlMoH3.

Results
Energy (eV per cell): -23.4
Total magnetization (μB/cell): 0.0
Distance to the lowest polymorph of the same formula (meV per atom): 0

abc: 3.4878 3.4878 3.4878
angles: 90.00 90.00 90.00
With the nearest neighbours (Å) after each atom.
Fractional coordinates of all 5 atoms:
Al  0.0000  0.0000  0.0000  12 H 2.47
Mo  0.5000  0.5000  0.5000  6 H 1.74
H  0.0000  0.5000  0.5000  2 Mo 1.74
H  0.5000  0.0000  0.5000  2 Mo 1.74
H  0.5000  0.5000  0.0000  2 Mo 1.74



[3]
Density functional theory data (GGA-PBE) for a relaxed structure of NpMnAlRu.

Results
Energy (eV per cell): -143.4
Total magnetization (μB/cell): 5.5
ΔE_f (eV per atom): -0.18

abc: 6.3573 6.3573 6.3573
angles: 90.00 90.00 90.00
With the nearest neighbours (Å) after each atom.
Fractional coordinates of all 16 atoms:
Np  0.0000  0.0000  0.0000  4 Mn 2.75, 4 Ru 2.75
Np  0.0000  0.5000  0.5000  4 Mn 2.75, 4 Ru 2.75
Np  0.5000  0.0000  0.5000  4 Mn 2.75, 4 Ru 2.75
Np  0.5000  0.5000  0.0000  4 Mn 2.75, 4 Ru 2.75
Mn  0.2500  0.2500  0.2500  4 Al 2.75, 4 Np 2.75
Mn  0.2500  0.7500  0.7500  4 Np 2.75, 4 Al 2.75
Mn  0.7500  0.2500  0.7500  4 Np 2.75, 4 Al 2.75
Mn  0.7500  0.7500  0.2500  4 Al 2.75, 4 Np 2.75
Al  0.0000  0.0000  0.5000  4 Ru 2.75, 4 Mn 2.75
Al  0.0000  0.5000  0.0000  4 Ru 2.75, 4 Mn 2.75
Al  0.5000  0.0000  0.0000  4 Ru 2.75, 4 Mn 2.75
Al  0.5000  0.5000  0.5000  4 Ru 2.75, 4 Mn 2.75
Ru  0.2500  0.2500  0.7500  4 Np 2.75, 4 Al 2.75
Ru  0.2500  0.7500  0.2500  4 Np 2.75, 4 Al 2.75
Ru  0.7500  0.2500  0.2500  4 Np 2.75, 4 Al 2.75
Ru  0.7500  0.7500  0.7500  4 Np 2.75, 4 Al 2.75



[4]
Density functional theory data (GGA-PBE) for a relaxed structure of CsThCoS3.

Results
Energy (eV per cell): -71.9
Total magnetization (μB/cell): 3.8

abc: 9.6242 4.0263 9.7058
angles: 90.00 112.25 90.00
With the nearest neighbours (Å) after each atom.
Fractional coordinates of all 12 atoms:
Cs  0.2047  0.2500  0.2410  7 S 3.51-3.64
Cs  0.7953  0.7500  0.7590  7 S 3.51-3.64
Th  0.3158  0.7500  0.8286  6 S 2.75-2.88
Th  0.6842  0.2500  0.1714  6 S 2.75-2.88
Co  0.0811  0.2500  0.5857  4 S 2.26-2.38
Co  0.9189  0.7500  0.4143  4 S 2.26-2.38
S  0.1260  0.2500  0.8437  1 Co 2.38
S  0.1719  0.7500  0.5240  3 Co 2.26-2.36
S  0.4681  0.7500  0.1477  3 Th 2.84-2.88
S  0.5319  0.2500  0.8523  3 Th 2.84-2.88
S  0.8281  0.2500  0.4760  3 Co 2.26-2.36
S  0.8740  0.7500  0.1563  1 Co 2.38



[5]
Density functional theory data (GGA-PBE) for a relaxed structure of Sm6Tl2Pb.

Results
Energy (eV per cell): -37.8
Total magnetization (μB/cell): 0.9
ΔE_f (eV per atom): -0.11

abc: 9.1771 9.1771 9.1771
angles: 146.43 131.94 59.90
With the nearest neighbours (Å) after each atom.
Fractional coordinates of all 9 atoms:
Sm  0.0791  0.3315  0.7476  3 Tl 3.23, 1 Pb 3.28
Sm  0.2457  0.0000  0.2457  2 Tl 3.22, 2 Pb 3.26
Sm  0.4161  0.6685  0.7476  3 Tl 3.23, 1 Pb 3.28
Sm  0.5839  0.3315  0.2524  3 Tl 3.23, 1 Pb 3.28
Sm  0.7543  0.0000  0.7543  2 Tl 3.22, 2 Pb 3.26
Sm  0.9209  0.6685  0.2524  3 Tl 3.23, 1 Pb 3.28
Tl  0.1666  0.1666  0.0000  8 Sm 3.22-3.23
Tl  0.8334  0.8334  0.0000  8 Sm 3.22-3.23
Pb  0.5000  0.5000  0.0000  8 Sm 3.26-3.28



[6]
Density functional theory data (GGA-PBE) for a relaxed structure of Li7Ag3Hg.

Results
Energy (eV per cell): -48.3
Total magnetization (μB/cell): 0.0
ΔE_f (eV per atom): -0.17
Distance to the lowest polymorph of the same formula (meV per atom): 0

abc: 10.8933 10.8933 12.3452
angles: 90.00 90.00 164.06
With the nearest neighbours (Å) after each atom.
Fractional coordinates of all 22 atoms:
Li  0.0545  0.9455  0.6241  2 Hg 2.77, 2 Ag 2.77, 3 Li 2.88-3.02
Li  0.0545  0.9455  0.8759  2 Hg 2.77, 2 Ag 2.77, 3 Li 2.88-3.02
Li  0.0921  0.9079  0.0998  4 Ag 2.79-2.86, 2 Hg 2.79, 4 Li 2.83-3.02
Li  0.0921  0.9079  0.4002  4 Ag 2.79-2.86, 2 Hg 2.79, 4 Li 2.83-3.02
Li  0.1839  0.8161  0.7500  4 Ag 2.91, 8 Li 3.02-3.20
Li  0.2234  0.7766  0.0977  5 Ag 2.68-2.83, 1 Li 2.83
Li  0.2234  0.7766  0.4023  5 Ag 2.68-2.83, 1 Li 2.83
Li  0.7766  0.2234  0.5977  5 Ag 2.68-2.83, 1 Li 2.83
Li  0.7766  0.2234  0.9023  5 Ag 2.68-2.83, 1 Li 2.83
Li  0.8161  0.1839  0.2500  4 Ag 2.91, 8 Li 3.02-3.20
Li  0.9079  0.0921  0.5998  4 Ag 2.79-2.86, 2 Hg 2.79, 4 Li 2.83-3.02
Li  0.9079  0.0921  0.9002  4 Ag 2.79-2.86, 2 Hg 2.79, 4 Li 2.83-3.02
Li  0.9455  0.0545  0.1241  2 Hg 2.77, 2 Ag 2.77, 3 Li 2.88-3.02
Li  0.9455  0.0545  0.3759  2 Hg 2.77, 2 Ag 2.77, 3 Li 2.88-3.02
Ag  0.3355  0.6645  0.7500  8 Li 2.73-2.86, 1 Hg 3.00, 2 Ag 3.02
Ag  0.3451  0.6549  0.0550  9 Li 2.68-2.91
Ag  0.3451  0.6549  0.4450  9 Li 2.68-2.91
Ag  0.6549  0.3451  0.5550  9 Li 2.68-2.91
Ag  0.6549  0.3451  0.9450  9 Li 2.68-2.91
Ag  0.6645  0.3355  0.2500  8 Li 2.73-2.86, 1 Hg 3.00, 2 Ag 3.02
Hg  0.4744  0.5256  0.7500  8 Li 2.77-2.79, 1 Ag 3.00, 2 Hg 3.02
Hg  0.5256  0.4744  0.2500  8 Li 2.77-2.79, 1 Ag 3.00, 2 Hg 3.02



[7]
Density functional theory data (GGA-PBE) for a relaxed structure of Sr2CaSiSn.

Results
Energy (eV per cell): -15.0
Total magnetization (μB/cell): 0.0

abc: 5.9675 5.9675 5.4257
angles: 90.00 90.00 90.00
With the nearest neighbours (Å) after each atom.
Fractional coordinates of all 5 atoms:
Sr  0.0000  0.5000  0.0000  2 Si 2.98
Sr  0.5000  0.0000  0.0000  2 Si 2.98
Ca  0.0000  0.0000  0.5000  8 Sr 4.03, 4 Sn 4.22
Si  0.5000  0.5000  0.0000  2 Sn 2.71, 4 Sr 2.98
Sn  0.5000  0.5000  0.5000  2 Si 2.71



[8]
Density functional theory data (GGA-PBE) for a relaxed structure of TlSbPb2S4.

Results
Energy (eV per cell): -67.5
Total magnetization (μB/cell): 0.0

abc: 8.4460 8.7364 8.7436
angles: 60.53 61.19 61.16
With the nearest neighbours (Å) after each atom.
Fractional coordinates of all 16 atoms:
Tl  0.0000  0.0000  0.0000  6 S 3.14-3.29
Tl  0.4861  0.9892  0.0102  6 S 3.14-3.29
Sb  0.4694  0.4835  0.9888  3 S 2.44-2.56
Sb  0.5452  0.9787  0.4934  3 S 2.45-2.56
Pb  0.0085  0.4904  0.9932  3 S 2.66-2.85
Pb  0.4777  0.4989  0.5165  6 S 2.86-3.14
Pb  0.9933  0.5059  0.5091  6 S 2.86-3.14
Pb  0.9946  0.9836  0.5004  3 S 2.66-2.85
S  0.2117  0.7544  0.3051  3 Pb 2.66-2.92
S  0.2149  0.2945  0.7647  3 Pb 2.66-2.92
S  0.2423  0.2957  0.2242  1 Sb 2.55, 1 Pb 2.85
S  0.2559  0.7080  0.7838  1 Sb 2.56, 1 Pb 2.84
S  0.6943  0.2946  0.7897  1 Sb 2.44
S  0.7075  0.7791  0.3050  1 Sb 2.45
S  0.7244  0.2146  0.3057  1 Sb 2.55, 1 Pb 2.85
S  0.7397  0.7738  0.7176  1 Sb 2.56, 1 Pb 2.84